[1]
Compound: ErHfTl2
Source: Alexandria
Functional: PBE-GGA
Structure: optimized geometry

a = 5.1824 Å, b = 5.1824 Å, c = 5.1824 Å
α = 60.00°, β = 60.00°, γ = 60.00°
Last column: nearest neighbours and their distance in Å.
Fractional positions:
Er (0.0000, 0.0000, 0.0000)  8 Tl 3.17
Hf (0.5000, 0.5000, 0.5000)  8 Tl 3.17
Tl (0.2500, 0.2500, 0.2500)  4 Hf 3.17, 4 Er 3.17
Tl (0.7500, 0.7500, 0.7500)  4 Hf 3.17, 4 Er 3.17

Its energy of formation from the pure elements is 0.016 eV/atom. Its total magnetization is 0.0 μB/cell. The calculation puts the raw total energy at -19.2 eV per formula unit. The calculation puts the excess energy over the best structure of this formula in the dataset at 0.072 eV per atom.

[2]
Compound: Er5Hf3Tl12
Source: Alexandria
Functional: PBE-GGA
Structure: optimized geometry

a = 15.1179 Å, b = 15.1179 Å, c = 15.1179 Å
α = 109.47°, β = 109.47°, γ = 109.47°
Last column: nearest neighbours and their distance in Å.
Fractional positions:
Er (0.0000, 0.0000, 0.0000)  6 Tl 3.02
Er (0.0000, 0.0000, 0.5000)  6 Tl 3.02
Er (0.0000, 0.5000, 0.0000)  6 Tl 3.02
Er (0.0000, 0.5000, 0.5000)  6 Tl 3.02
Er (0.1250, 0.7500, 0.8750)  4 Tl 3.01
Er (0.1250, 0.8750, 0.2500)  4 Tl 3.01
Er (0.2500, 0.1250, 0.8750)  4 Tl 3.01
Er (0.2500, 0.6250, 0.3750)  4 Tl 3.01
Er (0.3750, 0.2500, 0.6250)  4 Tl 3.01
Er (0.3750, 0.6250, 0.7500)  4 Tl 3.01
Er (0.5000, 0.0000, 0.0000)  6 Tl 3.02
Er (0.5000, 0.0000, 0.5000)  6 Tl 3.02
Er (0.5000, 0.5000, 0.0000)  6 Tl 3.02
Er (0.5000, 0.5000, 0.5000)  6 Tl 3.02
Er (0.6250, 0.3750, 0.2500)  4 Tl 3.01
Er (0.6250, 0.7500, 0.3750)  4 Tl 3.01
Er (0.7500, 0.3750, 0.6250)  4 Tl 3.01
Er (0.7500, 0.8750, 0.1250)  4 Tl 3.01
Er (0.8750, 0.1250, 0.7500)  4 Tl 3.01
Er (0.8750, 0.2500, 0.1250)  4 Tl 3.01
Hf (0.1250, 0.2500, 0.3750)  8 Tl 2.98-3.22
Hf (0.1250, 0.3750, 0.7500)  8 Tl 2.98-3.22
Hf (0.2500, 0.3750, 0.1250)  8 Tl 2.98-3.22
Hf (0.2500, 0.8750, 0.6250)  8 Tl 2.98-3.22
Hf (0.3750, 0.1250, 0.2500)  8 Tl 2.98-3.22
Hf (0.3750, 0.7500, 0.1250)  8 Tl 2.98-3.22
Hf (0.6250, 0.2500, 0.8750)  8 Tl 2.98-3.22
Hf (0.6250, 0.8750, 0.7500)  8 Tl 2.98-3.22
Hf (0.7500, 0.1250, 0.3750)  8 Tl 2.98-3.22
Hf (0.7500, 0.6250, 0.8750)  8 Tl 2.98-3.22
Hf (0.8750, 0.6250, 0.2500)  8 Tl 2.98-3.22
Hf (0.8750, 0.7500, 0.6250)  8 Tl 2.98-3.22
Tl (0.0706, 0.6436, 0.4098)  2 Hf 2.98-3.22, 2 Er 3.01-3.02, 1 Tl 3.03
Tl (0.0706, 0.9270, 0.6609)  2 Hf 2.98-3.22, 2 Er 3.01-3.02, 1 Tl 3.03
Tl (0.0730, 0.2339, 0.1436)  2 Hf 2.98-3.22, 2 Er 3.01-3.02, 1 Tl 3.03
Tl (0.0730, 0.3391, 0.9294)  2 Hf 2.98-3.22, 2 Er 3.01-3.02, 1 Tl 3.03
Tl (0.0902, 0.7339, 0.6609)  2 Hf 2.98-3.22, 2 Er 3.01-3.02, 1 Tl 3.03
Tl (0.0902, 0.8564, 0.4294)  2 Hf 2.98-3.22, 2 Er 3.01-3.02, 1 Tl 3.03
Tl (0.1436, 0.0730, 0.2339)  2 Hf 2.98-3.22, 2 Er 3.01-3.02, 1 Tl 3.03
Tl (0.1436, 0.5706, 0.9098)  2 Hf 2.98-3.22, 2 Er 3.01-3.02, 1 Tl 3.03
Tl (0.1609, 0.2339, 0.5902)  2 Hf 2.98-3.22, 2 Er 3.01-3.02, 1 Tl 3.03
Tl (0.1609, 0.4270, 0.5706)  2 Hf 2.98-3.22, 2 Er 3.01-3.02, 1 Tl 3.03
Tl (0.2339, 0.1436, 0.0730)  2 Hf 2.98-3.22, 2 Er 3.01-3.02, 1 Tl 3.03
Tl (0.2339, 0.5902, 0.1609)  2 Hf 2.98-3.22, 2 Er 3.01-3.02, 1 Tl 3.03
Tl (0.2661, 0.3391, 0.9098)  2 Hf 2.98-3.22, 2 Er 3.01-3.02, 1 Tl 3.03
Tl (0.2661, 0.4270, 0.3564)  2 Hf 2.98-3.22, 2 Er 3.01-3.02, 1 Tl 3.03
Tl (0.3391, 0.9098, 0.2661)  2 Hf 2.98-3.22, 2 Er 3.01-3.02, 1 Tl 3.03
Tl (0.3391, 0.9294, 0.0730)  2 Hf 2.98-3.22, 2 Er 3.01-3.02, 1 Tl 3.03
Tl (0.3564, 0.2661, 0.4270)  2 Hf 2.98-3.22, 2 Er 3.01-3.02, 1 Tl 3.03
Tl (0.3564, 0.5902, 0.9294)  2 Hf 2.98-3.22, 2 Er 3.01-3.02, 1 Tl 3.03
Tl (0.4098, 0.0706, 0.6436)  2 Hf 2.98-3.22, 2 Er 3.01-3.02, 1 Tl 3.03
Tl (0.4098, 0.8391, 0.7661)  2 Hf 2.98-3.22, 2 Er 3.01-3.02, 1 Tl 3.03
Tl (0.4270, 0.3564, 0.2661)  2 Hf 2.98-3.22, 2 Er 3.01-3.02, 1 Tl 3.03
Tl (0.4270, 0.5706, 0.1609)  2 Hf 2.98-3.22, 2 Er 3.01-3.02, 1 Tl 3.03
Tl (0.4294, 0.0902, 0.8564)  2 Hf 2.98-3.22, 2 Er 3.01-3.02, 1 Tl 3.03
Tl (0.4294, 0.8391, 0.5730)  2 Hf 2.98-3.22, 2 Er 3.01-3.02, 1 Tl 3.03
Tl (0.5706, 0.1609, 0.4270)  2 Hf 2.98-3.22, 2 Er 3.01-3.02, 1 Tl 3.03
Tl (0.5706, 0.9098, 0.1436)  2 Hf 2.98-3.22, 2 Er 3.01-3.02, 1 Tl 3.03
Tl (0.5730, 0.4294, 0.8391)  2 Hf 2.98-3.22, 2 Er 3.01-3.02, 1 Tl 3.03
Tl (0.5730, 0.6436, 0.7339)  2 Hf 2.98-3.22, 2 Er 3.01-3.02, 1 Tl 3.03
Tl (0.5902, 0.1609, 0.2339)  2 Hf 2.98-3.22, 2 Er 3.01-3.02, 1 Tl 3.03
Tl (0.5902, 0.9294, 0.3564)  2 Hf 2.98-3.22, 2 Er 3.01-3.02, 1 Tl 3.03
Tl (0.6436, 0.4098, 0.0706)  2 Hf 2.98-3.22, 2 Er 3.01-3.02, 1 Tl 3.03
Tl (0.6436, 0.7339, 0.5730)  2 Hf 2.98-3.22, 2 Er 3.01-3.02, 1 Tl 3.03
Tl (0.6609, 0.0706, 0.9270)  2 Hf 2.98-3.22, 2 Er 3.01-3.02, 1 Tl 3.03
Tl (0.6609, 0.0902, 0.7339)  2 Hf 2.98-3.22, 2 Er 3.01-3.02, 1 Tl 3.03
Tl (0.7339, 0.5730, 0.6436)  2 Hf 2.98-3.22, 2 Er 3.01-3.02, 1 Tl 3.03
Tl (0.7339, 0.6609, 0.0902)  2 Hf 2.98-3.22, 2 Er 3.01-3.02, 1 Tl 3.03
Tl (0.7661, 0.4098, 0.8391)  2 Hf 2.98-3.22, 2 Er 3.01-3.02, 1 Tl 3.03
Tl (0.7661, 0.8564, 0.9270)  2 Hf 2.98-3.22, 2 Er 3.01-3.02, 1 Tl 3.03
Tl (0.8391, 0.5730, 0.4294)  2 Hf 2.98-3.22, 2 Er 3.01-3.02, 1 Tl 3.03
Tl (0.8391, 0.7661, 0.4098)  2 Hf 2.98-3.22, 2 Er 3.01-3.02, 1 Tl 3.03
Tl (0.8564, 0.4294, 0.0902)  2 Hf 2.98-3.22, 2 Er 3.01-3.02, 1 Tl 3.03
Tl (0.8564, 0.9270, 0.7661)  2 Hf 2.98-3.22, 2 Er 3.01-3.02, 1 Tl 3.03
Tl (0.9098, 0.1436, 0.5706)  2 Hf 2.98-3.22, 2 Er 3.01-3.02, 1 Tl 3.03
Tl (0.9098, 0.2661, 0.3391)  2 Hf 2.98-3.22, 2 Er 3.01-3.02, 1 Tl 3.03
Tl (0.9270, 0.6609, 0.0706)  2 Hf 2.98-3.22, 2 Er 3.01-3.02, 1 Tl 3.03
Tl (0.9270, 0.7661, 0.8564)  2 Hf 2.98-3.22, 2 Er 3.01-3.02, 1 Tl 3.03
Tl (0.9294, 0.0730, 0.3391)  2 Hf 2.98-3.22, 2 Er 3.01-3.02, 1 Tl 3.03
Tl (0.9294, 0.3564, 0.5902)  2 Hf 2.98-3.22, 2 Er 3.01-3.02, 1 Tl 3.03

Its energy of formation from the pure elements is 0.447 eV/atom. Its total magnetization is 0.0 μB/cell. The calculation puts the raw total energy at -72.1 eV per formula unit.

[3]
Compound: Er12HfTl3
Source: Alexandria
Functional: PBE-GGA
Structure: optimized geometry

a = 4.7925 Å, b = 4.7925 Å, c = 19.4737 Å
α = 90.00°, β = 90.00°, γ = 90.00°
Last column: nearest neighbours and their distance in Å.
Fractional positions:
Er (0.0000, 0.0000, 0.0000)  4 Tl 3.39, 8 Er 3.41
Er (0.0000, 0.0000, 0.2488)  4 Tl 3.39, 8 Er 3.40-3.47
Er (0.0000, 0.0000, 0.5000)  8 Er 3.38, 4 Hf 3.39
Er (0.0000, 0.0000, 0.7512)  4 Tl 3.39, 8 Er 3.40-3.47
Er (0.0000, 0.5000, 0.1246)  4 Tl 3.38-3.41, 8 Er 3.39-3.41
Er (0.0000, 0.5000, 0.3776)  2 Hf 3.38, 8 Er 3.38-3.47, 2 Tl 3.50
Er (0.0000, 0.5000, 0.6224)  2 Hf 3.38, 8 Er 3.38-3.47, 2 Tl 3.50
Er (0.0000, 0.5000, 0.8754)  4 Tl 3.38-3.41, 8 Er 3.39-3.41
Er (0.5000, 0.0000, 0.1246)  4 Tl 3.38-3.41, 8 Er 3.39-3.41
Er (0.5000, 0.0000, 0.3776)  2 Hf 3.38, 8 Er 3.38-3.47, 2 Tl 3.50
Er (0.5000, 0.0000, 0.6224)  2 Hf 3.38, 8 Er 3.38-3.47, 2 Tl 3.50
Er (0.5000, 0.0000, 0.8754)  4 Tl 3.38-3.41, 8 Er 3.39-3.41
Hf (0.5000, 0.5000, 0.5000)  12 Er 3.38-3.39
Tl (0.5000, 0.5000, 0.0000)  12 Er 3.39-3.41
Tl (0.5000, 0.5000, 0.2469)  12 Er 3.38-3.50
Tl (0.5000, 0.5000, 0.7531)  12 Er 3.38-3.50

Its energy of formation from the pure elements is -0.107 eV/atom. Its total magnetization is 0.0 μB/cell. The calculation puts the raw total energy at -73.5 eV per formula unit.

[4]
Compound: ErHfTlZn
Source: Alexandria
Functional: PBE-GGA
Structure: optimized geometry

a = 5.0078 Å, b = 5.0078 Å, c = 5.0078 Å
α = 60.00°, β = 60.00°, γ = 60.00°
Last column: nearest neighbours and their distance in Å.
Fractional positions:
Er (0.0000, 0.0000, 0.0000)  4 Tl 3.07, 4 Zn 3.07
Hf (0.5000, 0.5000, 0.5000)  4 Tl 3.07, 4 Zn 3.07
Tl (0.7500, 0.7500, 0.7500)  4 Er 3.07, 4 Hf 3.07
Zn (0.2500, 0.2500, 0.2500)  4 Hf 3.07, 4 Er 3.07

Its energy of formation from the pure elements is -0.074 eV/atom. Its total magnetization is 0.0 μB/cell. The calculation puts the raw total energy at -18.5 eV per formula unit.

[5]
Compound: ErTm6Hf
Source: Alexandria
Functional: PBE-GGA
Structure: optimized geometry

a = 6.5300 Å, b = 6.5300 Å, c = 6.4908 Å
α = 91.12°, β = 91.12°, γ = 122.06°
Last column: nearest neighbours and their distance in Å.
Fractional positions:
Er (0.0000, 0.0000, 0.0000)  2 Hf 3.25, 6 Tm 3.34-3.39
Tm (0.0423, 0.5858, 0.2583)  6 Tm 3.20-3.45, 1 Hf 3.24, 1 Er 3.34
Tm (0.4142, 0.9577, 0.7417)  6 Tm 3.20-3.45, 1 Hf 3.24, 1 Er 3.34
Tm (0.4784, 0.4784, 0.2567)  6 Tm 3.16-3.36, 1 Er 3.39, 1 Hf 3.47
Tm (0.5216, 0.5216, 0.7433)  6 Tm 3.16-3.36, 1 Er 3.39, 1 Hf 3.47
Tm (0.5858, 0.0423, 0.2583)  6 Tm 3.20-3.45, 1 Hf 3.24, 1 Er 3.34
Tm (0.9577, 0.4142, 0.7417)  6 Tm 3.20-3.45, 1 Hf 3.24, 1 Er 3.34
Hf (0.0000, 0.0000, 0.5000)  8 Tm 3.24-3.60, 2 Er 3.25

Its energy of formation from the pure elements is 0.272 eV/atom. Its total magnetization is 0.0 μB/cell. The calculation puts the raw total energy at -39.2 eV per formula unit.

[6]
Compound: ErTm2Hf
Source: Alexandria
Functional: PBE-GGA
Structure: optimized geometry

a = 3.9421 Å, b = 3.9421 Å, c = 7.1992 Å
α = 90.00°, β = 90.00°, γ = 90.00°
Last column: nearest neighbours and their distance in Å.
Fractional positions:
Er (0.0000, 0.0000, 0.0000)  8 Tm 3.42, 2 Hf 3.60
Tm (0.5000, 0.5000, 0.2755)  4 Hf 3.22, 1 Tm 3.23, 4 Er 3.42
Tm (0.5000, 0.5000, 0.7245)  4 Hf 3.22, 1 Tm 3.23, 4 Er 3.42
Hf (0.0000, 0.0000, 0.5000)  8 Tm 3.22, 2 Er 3.60

Its energy of formation from the pure elements is 0.215 eV/atom. Its total magnetization is 0.0 μB/cell. The calculation puts the raw total energy at -22.6 eV per formula unit. The calculation puts the excess energy over the best structure of this formula in the dataset at 0.151 eV per atom.

[7]
Compound: ErTm2Hf
Source: Alexandria
Functional: PBE-GGA
Structure: optimized geometry

a = 11.1961 Å, b = 11.1961 Å, c = 11.1961 Å
α = 17.51°, β = 17.51°, γ = 17.51°
Last column: nearest neighbours and their distance in Å.
Fractional positions:
Er (0.0000, 0.0000, 0.0000)  6 Er 3.41, 6 Tm 3.51-3.53
Tm (0.5781, 0.5781, 0.5781)  3 Hf 3.26, 6 Tm 3.41, 3 Er 3.53
Tm (0.7544, 0.7544, 0.7544)  3 Hf 3.25, 6 Tm 3.41, 3 Er 3.51
Hf (0.1660, 0.1660, 0.1660)  6 Tm 3.25-3.26, 6 Hf 3.41

Its energy of formation from the pure elements is 0.090 eV/atom. Its total magnetization is 0.0 μB/cell. The calculation puts the raw total energy at -23.1 eV per formula unit. The calculation puts the excess energy over the best structure of this formula in the dataset at 0.026 eV per atom.

[8]
Compound: Er7Tm12Hf
Source: Alexandria
Functional: PBE-GGA
Structure: optimized geometry

a = 8.5118 Å, b = 8.5118 Å, c = 8.5118 Å
α = 94.70°, β = 94.70°, γ = 94.70°
Last column: nearest neighbours and their distance in Å.
Fractional positions:
Er (0.0000, 0.0000, 0.0000)  6 Tm 3.01
Er (0.1540, 0.4189, 0.4817)  1 Hf 2.96, 2 Tm 3.05-3.26, 1 Er 3.09
Er (0.4189, 0.4817, 0.1540)  1 Hf 2.96, 2 Tm 3.05-3.26, 1 Er 3.09
Er (0.4817, 0.1540, 0.4189)  1 Hf 2.96, 2 Tm 3.05-3.26, 1 Er 3.09
Er (0.5183, 0.8460, 0.5811)  1 Hf 2.96, 2 Tm 3.05-3.26, 1 Er 3.09
Er (0.5811, 0.5183, 0.8460)  1 Hf 2.96, 2 Tm 3.05-3.26, 1 Er 3.09
Er (0.8460, 0.5811, 0.5183)  1 Hf 2.96, 2 Tm 3.05-3.26, 1 Er 3.09
Tm (0.0195, 0.0854, 0.3522)  2 Er 3.01-3.05, 2 Tm 3.03-3.29
Tm (0.0854, 0.3522, 0.0195)  2 Er 3.01-3.05, 2 Tm 3.03-3.29
Tm (0.1853, 0.7497, 0.3133)  3 Er 3.26-3.49, 3 Tm 3.29-3.50
Tm (0.2503, 0.6867, 0.8147)  3 Er 3.26-3.49, 3 Tm 3.29-3.50
Tm (0.3133, 0.1853, 0.7497)  3 Er 3.26-3.49, 3 Tm 3.29-3.50
Tm (0.3522, 0.0195, 0.0854)  2 Er 3.01-3.05, 2 Tm 3.03-3.29
Tm (0.6478, 0.9805, 0.9146)  2 Er 3.01-3.05, 2 Tm 3.03-3.29
Tm (0.6867, 0.8147, 0.2503)  3 Er 3.26-3.49, 3 Tm 3.29-3.50
Tm (0.7497, 0.3133, 0.1853)  3 Er 3.26-3.49, 3 Tm 3.29-3.50
Tm (0.8147, 0.2503, 0.6867)  3 Er 3.26-3.49, 3 Tm 3.29-3.50
Tm (0.9146, 0.6478, 0.9805)  2 Er 3.01-3.05, 2 Tm 3.03-3.29
Tm (0.9805, 0.9146, 0.6478)  2 Er 3.01-3.05, 2 Tm 3.03-3.29
Hf (0.5000, 0.5000, 0.5000)  6 Er 2.96

Its energy of formation from the pure elements is 0.318 eV/atom. Its total magnetization is 0.0 μB/cell. The calculation puts the raw total energy at -89.2 eV per formula unit.

Which formula does entry 4 have? ErHfTlZn

Please write out number 5 again, unchanged.
Compound: ErTm6Hf
Source: Alexandria
Functional: PBE-GGA
Structure: optimized geometry

a = 6.5300 Å, b = 6.5300 Å, c = 6.4908 Å
α = 91.12°, β = 91.12°, γ = 122.06°
Last column: nearest neighbours and their distance in Å.
Fractional positions:
Er (0.0000, 0.0000, 0.0000)  2 Hf 3.25, 6 Tm 3.34-3.39
Tm (0.0423, 0.5858, 0.2583)  6 Tm 3.20-3.45, 1 Hf 3.24, 1 Er 3.34
Tm (0.4142, 0.9577, 0.7417)  6 Tm 3.20-3.45, 1 Hf 3.24, 1 Er 3.34
Tm (0.4784, 0.4784, 0.2567)  6 Tm 3.16-3.36, 1 Er 3.39, 1 Hf 3.47
Tm (0.5216, 0.5216, 0.7433)  6 Tm 3.16-3.36, 1 Er 3.39, 1 Hf 3.47
Tm (0.5858, 0.0423, 0.2583)  6 Tm 3.20-3.45, 1 Hf 3.24, 1 Er 3.34
Tm (0.9577, 0.4142, 0.7417)  6 Tm 3.20-3.45, 1 Hf 3.24, 1 Er 3.34
Hf (0.0000, 0.0000, 0.5000)  8 Tm 3.24-3.60, 2 Er 3.25

Its energy of formation from the pure elements is 0.272 eV/atom. Its total magnetization is 0.0 μB/cell. The calculation puts the raw total energy at -39.2 eV per formula unit.